Here is an optimized crystal structure of Li2HfPdO from Alexandria via LeMat-Bulk. Energies are from PBE.

The structure in extended XYZ format:
```
5
Lattice="3.9889 0.0000 0.0000 0.0000 3.9889 0.0000 0.0000 0.0000 4.2620" Properties=species:S:1:pos:R:3 pbc="T T T"
Li 0.0000 1.9945 0.0000
Li 1.9945 0.0000 0.0000
Hf 0.0000 0.0000 2.1310
Pd 1.9945 1.9945 2.1310
O 0.0000 0.0000 0.0000
```

Formation energy without anion corrections   -1.27 eV per atom
Total moment   0.00 Bohr magnetons per cell
Space-group type   P4/mmm
DOS(E_F)   1.932 states/eV/cell